Below is a geometry-optimized ThPaV2 structure, with properties calculated at the GGA-PBE level.

Cell: 3.2356 3.2356 9.7006 Å, 80.40 80.40 60.00°
Sites, in units of the cell vectors:
V1 0.0977 0.0977 0.7068
V2 0.9023 0.9023 0.2932
Th1 0.0000 0.0000 0.0000
Pa1 0.5000 0.5000 0.5000

Output
M_tot (μB per formula unit): 0.00
Energy (eV per atom): -8.03
DFT formation energy (eV per atom): 0.761